(1)
# AgPBr6 PBE relaxed
data_AgPBr6
_chemical_formula_sum 'Ag4 P4 Br24'
_cell_length_a 10.016
_cell_length_b 10.016
_cell_length_c 10.016
_cell_angle_alpha 90.00
_cell_angle_beta 90.00
_cell_angle_gamma 90.00
_space_group_name_H-M_alt 'F -4 3 m'
_space_group_IT_number 216
_space_group_name_Hall 'F -4 2 3'
loop_
_atom_site_label
_atom_site_fract_x
_atom_site_fract_y
_atom_site_fract_z
Ag1 0.000 0.000 0.000
P1 0.250 0.250 0.750
Br1 0.013 0.250 0.750
# Electronic total energy ... -2.31 eV per atom

(2)
# AgPbBr6 PBE relaxed
data_AgPbBr6
_chemical_formula_sum 'Ag4 Pb4 Br24'
_cell_length_a 10.079
_cell_length_b 10.079
_cell_length_c 10.079
_cell_angle_alpha 90.00
_cell_angle_beta 90.00
_cell_angle_gamma 90.00
_space_group_name_H-M_alt 'F -4 3 m'
_space_group_IT_number 216
_space_group_name_Hall 'F -4 2 3'
loop_
_atom_site_label
_atom_site_fract_x
_atom_site_fract_y
_atom_site_fract_z
Ag1 0.000 0.000 0.000
Pb1 0.250 0.250 0.250
Br1 0.000 0.000 0.256
# Electronic total energy ... -2.23 eV per atom